An optimized crystal structure of Li5Ir3, computed with PBE-GGA.

Values from the calculation:
**Fermi-level density of states**: 32.8 states/eV per cell
**Magnetic moment**: 0.00 μB/cell
**Offset from the most stable computed form**: 0.00 kJ per mole of atoms
**Crystal system**: orthorhombic

abc: 9.765 17.594 5.129
angles: 90.00 90.00 90.00
Space group Fmm2 (No. 42)
Inequivalent atoms, fractional coordinates:
Li 0.000 0.000 0.000 (multiplicity 4)
Li 0.000 0.000 0.499 (multiplicity 4)
Li 0.135 0.128 0.016 (multiplicity 16)
Li 0.135 0.128 0.515 (multiplicity 16)
Ir 0.000 0.250 0.018 (multiplicity 8)
Ir 0.245 0.000 0.258 (multiplicity 8)
Ir 0.250 0.250 0.267 (multiplicity 8)